Record 1
PBE ReS2I, relaxed; Fermi-level density of states = 0.727 states/eV/atom; offset from the most stable computed form = 231.2 meV per atom; raw total energy = -5.40 eV/atom; formation energy from raw total energies = 0.67 eV/f.u.
1.0
6.744 0.000 0.000
0.000 6.744 0.000
0.000 0.000 9.705
Re S I
4 8 4
Cartesian
0.000 0.000 0.000 Re
0.000 3.372 2.426 Re
3.372 0.000 7.278 Re
3.372 3.372 4.852 Re
0.758 1.686 1.213 S
1.686 4.130 3.639 S
1.686 5.986 8.491 S
2.614 1.686 6.065 S
4.130 5.058 6.065 S
5.058 0.758 8.491 S
5.058 2.614 3.639 S
5.986 5.058 1.213 S
0.000 0.000 4.852 I
0.000 3.372 7.278 I
3.372 0.000 2.426 I
3.372 3.372 0.000 I

Record 2
PBE Pr2Tc2P2C, relaxed; Fermi-level density of states = 0.554 states/eV/atom; raw total energy = -8.06 eV/atom; calculated formation energy = -0.868 eV per atom
1.0
11.307 0.000 0.000
0.000 4.008 0.000
-3.945 0.000 5.702
Pr Tc P C
4 4 4 2
Cartesian
-0.501 0.000 1.775 Pr
2.209 2.004 3.927 Pr
5.153 2.004 1.775 Pr
7.863 0.000 3.927 Pr
1.877 2.004 0.485 Tc
-0.169 0.000 5.217 Tc
7.531 0.000 0.485 Tc
5.485 2.004 5.217 Tc
-0.800 2.004 4.148 P
2.509 0.000 1.555 P
4.853 0.000 4.148 P
8.163 2.004 1.555 P
0.000 2.004 0.000 C
5.654 0.000 0.000 C

Question: Which formula does entry 2 have?
Answer: Pr2Tc2P2C